Entry 1:
Here is a relaxed HoTmIn2 crystal from the Alexandria database. Energies are from GGA-PBEsol.

Properties
**Density of states at the Fermi level**: 0.53 states/eV per atom
**Energy of formation**: -0.494 eV/atom

Structure (extended XYZ):
```
4
Lattice="-4.604 -2.209 0.884 -0.327 -5.128 0.675 -1.090 -1.933 4.684" Properties=species:S:1:pos:R:3 pbc="T T T"
Tm 0.000 0.000 0.000
Ho -3.011 -4.635 3.121
In -1.505 -2.317 1.561
In -4.516 -6.952 4.682
```



Entry 2:
Here is a relaxed Hf2ZrPd2 crystal from the Alexandria database. Energies are from GGA-PBEsol.

Properties
**Density of states at the Fermi level**: 0.88 states/eV per atom
**Energy of formation**: -0.529 eV/atom

Structure (extended XYZ):
```
10
Lattice="3.238 0.000 0.000 0.000 7.618 0.000 0.000 0.000 7.618" Properties=species:S:1:pos:R:3 pbc="T T T"
Hf 1.619 1.287 5.096
Hf 1.619 5.096 6.331
Hf 1.619 6.331 2.522
Hf 1.619 2.522 1.287
Zr 0.000 0.000 0.000
Zr 0.000 3.809 3.809
Pd 0.000 2.836 6.645
Pd 0.000 6.645 4.782
Pd 0.000 4.782 0.973
Pd 0.000 0.973 2.836
```



Entry 3:
Here is a relaxed TaMnCo2 crystal from the Alexandria database. Energies are from GGA-PBEsol.

Properties
**Density of states at the Fermi level**: 0.96 states/eV per atom
**Relative energy among the computed polymorphs**: 0 kJ/mol of formula units
**Energy of formation**: -0.146 eV/atom

Structure (extended XYZ):
```
4
Lattice="3.561 0.000 0.000 0.000 3.660 0.000 0.000 0.000 3.660" Properties=species:S:1:pos:R:3 pbc="T T T"
Mn 1.780 1.830 1.830
Co 0.000 0.000 1.830
Co 0.000 1.830 0.000
Ta 1.780 0.000 0.000
```



Entry 4:
Here is a relaxed Cd2CuHg crystal from the Alexandria database. Energies are from GGA-PBEsol.

Properties
**Density of states at the Fermi level**: 0.29 states/eV per atom
**Energy of formation**: 0.043 eV/atom

Structure (extended XYZ):
```
4
Lattice="-1.675 0.579 2.322 -3.286 -2.471 -1.755 4.634 -3.874 2.471" Properties=species:S:1:pos:R:3 pbc="T T T"
Hg -1.643 -1.236 -0.877
Cu -0.838 0.289 1.161
Cd -1.162 -3.898 1.971
Cd 0.835 -1.868 1.068
```



Entry 5:
Here is a relaxed Li4C crystal from the Alexandria database. Energies are from GGA-PBEsol.

Properties
**Density of states at the Fermi level**: 0.10 states/eV per atom
**Relative energy among the computed polymorphs**: 0 kJ/mol of formula units
**Energy of formation**: 0.363 eV/atom

Structure (extended XYZ):
```
5
Lattice="-2.622 1.414 -2.464 -3.762 0.817 1.438 -0.264 4.080 -0.410" Properties=species:S:1:pos:R:3 pbc="T T T"
C 0.000 0.000 0.000
Li -2.349 3.391 -1.620
Li -4.455 5.096 -1.434
Li -4.299 2.921 0.185
Li -2.193 1.215 -0.002
```



Entry 6:
Here is a relaxed Cs2NbC crystal from the Alexandria database. Energies are from GGA-PBEsol.

Properties
**Density of states at the Fermi level**: 0.30 states/eV per atom
**Energy of formation**: 2.464 eV/atom

Structure (extended XYZ):
```
4
Lattice="5.628 0.000 0.000 2.814 4.874 0.000 2.814 1.625 4.595" Properties=species:S:1:pos:R:3 pbc="T T T"
Cs 2.814 1.625 1.149
Cs 8.442 4.874 3.446
Nb 5.628 3.249 2.298
C 0.000 0.000 0.000
```



Entry 7:
Here is a relaxed TcAgC3 crystal from the Alexandria database. Energies are from GGA-PBEsol.

Properties
**Density of states at the Fermi level**: 0.39 states/eV per atom
**Energy of formation**: 1.921 eV/atom

Structure (extended XYZ):
```
5
Lattice="3.983 0.000 0.000 0.000 3.983 0.000 0.000 0.000 3.983" Properties=species:S:1:pos:R:3 pbc="T T T"
C 0.000 1.992 0.000
C 0.000 0.000 1.992
C 1.992 0.000 0.000
Tc 0.000 0.000 0.000
Ag 1.992 1.992 1.992
```



Entry 8:
Here is a relaxed RbCr2Mo crystal from the Alexandria database. Energies are from GGA-PBEsol.

Properties
**Density of states at the Fermi level**: 0.71 states/eV per atom
**Energy of formation**: 1.827 eV/atom

Structure (extended XYZ):
```
4
Lattice="4.757 0.000 0.000 2.379 4.120 0.000 2.379 1.373 3.884" Properties=species:S:1:pos:R:3 pbc="T T T"
Cr 2.379 1.373 0.971
Cr 7.136 4.120 2.913
Mo 4.757 2.747 1.942
Rb 0.000 0.000 0.000
```